[1]
A plane-wave DFT calculation with GGA-PBE was carried out for a relaxed HfZn2FeIr4 crystal.

a b c (Å): 4.358 4.358 6.195
angles (deg): 90.00 90.00 90.00
Space group P4/mmm (No. 123)
One atom of each set of equivalent atoms:
Hf  0.000  0.000  0.000
Zn  0.000  0.000  0.500
Zn  0.500  0.500  0.000
Fe  0.500  0.500  0.500
Ir  0.000  0.500  0.264

## Properties
Calculated formation energy = -41.50 kJ/mol of atoms
E_tot = -7.4568 eV/atom

---

[2]
A plane-wave DFT calculation with GGA-PBE was carried out for a relaxed Li2HfFe crystal.

a b c (Å): 6.140 6.140 6.140
angles (deg): 90.00 90.00 90.00
Space group F-43m (No. 216)
One atom of each set of equivalent atoms:
Li  0.000  0.000  0.000
Li  0.250  0.250  0.250
Hf  0.000  0.000  0.500
Fe  0.250  0.250  0.750

## Properties
E_tot = -5.1850 eV/atom

---

[3]
A plane-wave DFT calculation with GGA-PBE was carried out for a relaxed LiHfFe crystal.

a b c (Å): 5.703 5.703 5.703
angles (deg): 90.00 90.00 90.00
Space group F-43m (No. 216)
One atom of each set of equivalent atoms:
Li  0.000  0.000  0.000
Hf  0.250  0.250  0.250
Fe  0.250  0.250  0.750

## Properties
E_tot = -5.9724 eV/atom

---

[4]
A plane-wave DFT calculation with GGA-PBE was carried out for a relaxed LiHfNbFe crystal.

a b c (Å): 6.241 6.241 6.241
angles (deg): 90.00 90.00 90.00
Space group F-43m (No. 216)
One atom of each set of equivalent atoms:
Li  0.000  0.000  0.000
Hf  0.250  0.250  0.750
Nb  0.250  0.250  0.250
Fe  0.000  0.000  0.500

## Properties
Polymorph energy (0 for the lowest one) = 0.0000 eV/atom
E_tot = -7.5073 eV/atom

---

[5]
A plane-wave DFT calculation with GGA-PBE was carried out for a relaxed LiHfNbFe crystal.

a b c (Å): 6.253 6.253 6.253
angles (deg): 90.00 90.00 90.00
Space group F-43m (No. 216)
One atom of each set of equivalent atoms:
Li  0.000  0.000  0.000
Hf  0.250  0.250  0.750
Nb  0.000  0.000  0.500
Fe  0.250  0.250  0.250

## Properties
Polymorph energy (0 for the lowest one) = 0.2713 eV/atom
E_tot = -7.2360 eV/atom

---

[6]
A plane-wave DFT calculation with GGA-PBE was carried out for a relaxed LiHfFePb crystal.

a b c (Å): 6.584 6.584 6.584
angles (deg): 90.00 90.00 90.00
Space group F-43m (No. 216)
One atom of each set of equivalent atoms:
Li  0.000  0.000  0.000
Hf  0.250  0.250  0.250
Fe  0.250  0.250  0.750
Pb  0.000  0.000  0.500

## Properties
Polymorph energy (0 for the lowest one) = 0.3861 eV/atom
E_tot = -5.5950 eV/atom

---

[7]
A plane-wave DFT calculation with GGA-PBE was carried out for a relaxed LiHfFePb crystal.

a b c (Å): 6.407 6.407 6.407
angles (deg): 90.00 90.00 90.00
Space group F-43m (No. 216)
One atom of each set of equivalent atoms:
Li  0.000  0.000  0.000
Hf  0.250  0.250  0.750
Fe  0.000  0.000  0.500
Pb  0.250  0.250  0.250

## Properties
Polymorph energy (0 for the lowest one) = 0.0000 eV/atom
E_tot = -5.9811 eV/atom

---

[8]
A plane-wave DFT calculation with GGA-PBE was carried out for a relaxed LiHfFeSb crystal.

a b c (Å): 6.392 6.392 6.392
angles (deg): 90.00 90.00 90.00
Space group F-43m (No. 216)
One atom of each set of equivalent atoms:
Li  0.000  0.000  0.000
Hf  0.250  0.250  0.250
Fe  0.250  0.250  0.750
Sb  0.000  0.000  0.500

## Properties
Polymorph energy (0 for the lowest one) = 0.5395 eV/atom
E_tot = -5.9067 eV/atom

---

[9]
A plane-wave DFT calculation with GGA-PBE was carried out for a relaxed LiHfFeSb crystal.

a b c (Å): 6.242 6.242 6.242
angles (deg): 90.00 90.00 90.00
Space group F-43m (No. 216)
One atom of each set of equivalent atoms:
Li  0.000  0.000  0.000
Hf  0.250  0.250  0.750
Fe  0.000  0.000  0.500
Sb  0.250  0.250  0.250

## Properties
Polymorph energy (0 for the lowest one) = 0.0000 eV/atom
E_tot = -6.4462 eV/atom

---

[10]
A plane-wave DFT calculation with GGA-PBE was carried out for a relaxed LiHfFeSb crystal.

a b c (Å): 6.549 6.549 6.549
angles (deg): 90.00 90.00 90.00
Space group F-43m (No. 216)
One atom of each set of equivalent atoms:
Li  0.000  0.000  0.000
Hf  0.000  0.000  0.500
Fe  0.250  0.250  0.250
Sb  0.250  0.250  0.750

## Properties
Polymorph energy (0 for the lowest one) = 0.3093 eV/atom
E_tot = -6.1368 eV/atom

---

[11]
A plane-wave DFT calculation with GGA-PBE was carried out for a relaxed LiHfFeSn crystal.

a b c (Å): 6.479 6.479 6.479
angles (deg): 90.00 90.00 90.00
Space group F-43m (No. 216)
One atom of each set of equivalent atoms:
Li  0.000  0.000  0.000
Hf  0.250  0.250  0.250
Fe  0.250  0.250  0.750
Sn  0.000  0.000  0.500

## Properties
Polymorph energy (0 for the lowest one) = 0.4035 eV/atom
E_tot = -5.9050 eV/atom

---

[12]
A plane-wave DFT calculation with GGA-PBE was carried out for a relaxed LiHfFeSn crystal.

a b c (Å): 6.307 6.307 6.307
angles (deg): 90.00 90.00 90.00
Space group F-43m (No. 216)
One atom of each set of equivalent atoms:
Li  0.000  0.000  0.000
Hf  0.250  0.250  0.750
Fe  0.000  0.000  0.500
Sn  0.250  0.250  0.250

## Properties
Polymorph energy (0 for the lowest one) = 0.0000 eV/atom
E_tot = -6.3085 eV/atom